No. 1
Compound: FeNi2As
Source: the Alexandria database
Functional: GGA-PBE
Structure: optimized geometry

Summary:
Formation energy   -0.07 eV per atom
Uncorrected energy   -6.239 eV per atom

Cell: 3.6254 3.6244 3.6560 Å, 90.00 90.00 90.00°
Each line ends with the local moment (μB).
Sites, in units of the cell vectors:
As  0.5000  0.0000  0.5000  0.00
Fe  0.0000  0.5000  0.5000  2.58
Ni  0.0000  0.0000  0.0000  0.40
Ni  0.5000  0.5000  0.0000  0.40


No. 2
Compound: Sm2GdTi
Source: the Alexandria database
Functional: GGA-PBE
Structure: optimized geometry

Summary:
Energy above the most stable polymorph in this dataset   0 meV/atom
Formation energy   0.18 eV per atom
Uncorrected energy   -7.672 eV per atom

Cell: 3.4566 3.4566 9.5941 Å, 90.00 90.00 90.00°
Each line ends with the local moment (μB).
Sites, in units of the cell vectors:
Gd  0.5000  0.5000  0.5000  7.24
Sm  0.0000  0.0000  0.7807  -0.02
Sm  0.0000  0.0000  0.2193  -0.02
Ti  0.5000  0.5000  0.0000  -0.06


No. 3
Compound: Sr2FeNi2
Source: the Alexandria database
Functional: GGA-PBE
Structure: optimized geometry

Summary:
Formation energy   0.31 eV per atom
Uncorrected energy   -4.367 eV per atom

Cell: 6.7604 6.7604 4.6754 Å, 90.00 90.00 90.00°
Each line ends with the local moment (μB).
Sites, in units of the cell vectors:
Sr  0.1819  0.6819  0.5000  -0.07
Sr  0.6819  0.8181  0.5000  -0.07
Sr  0.8181  0.3181  0.5000  -0.07
Sr  0.3181  0.1819  0.5000  -0.07
Fe  0.0000  0.0000  0.0000  2.82
Fe  0.5000  0.5000  0.0000  2.81
Ni  0.3736  0.8736  0.0000  0.23
Ni  0.8736  0.6264  0.0000  0.23
Ni  0.6264  0.1264  0.0000  0.23
Ni  0.1264  0.3736  0.0000  0.23


No. 4
Compound: Er2BiIrO8
Source: the Alexandria database
Functional: GGA-PBE
Structure: optimized geometry

Summary:
Formation energy without anion corrections   -1964 meV/atom
Uncorrected energy   -7.091 eV per atom

Cell: 4.9981 4.9922 6.7054 Å, 90.00 90.00 91.47°
Each line ends with the local moment (μB).
Sites, in units of the cell vectors:
Er  0.5000  0.5000  0.7552  0.03
Er  0.5000  0.5000  0.2448  0.03
Bi  0.0000  0.0000  0.5000  -0.01
Ir  0.0000  0.0000  0.0000  1.07
O  0.1811  0.8175  0.2251  0.07
O  0.7219  0.7231  0.0000  0.20
O  0.8189  0.1825  0.2251  0.07
O  0.8189  0.1825  0.7749  0.07
O  0.2781  0.2769  0.0000  0.20
O  0.1811  0.8175  0.7749  0.07
O  0.6926  0.6938  0.5000  0.01
O  0.3074  0.3062  0.5000  0.01


No. 5
Compound: BaNi3Te
Source: the Alexandria database
Functional: GGA-PBE
Structure: optimized geometry

Summary:
Energy above the most stable polymorph in this dataset   0 meV/atom
Formation energy without anion corrections   107 meV/atom
Uncorrected energy   -4.374 eV per atom

Cell: 4.8139 4.8139 4.8139 Å, 90.00 90.00 90.00°
Sites, in units of the cell vectors:
Ni  0.0000  0.5000  0.0000
Ni  0.0000  0.0000  0.5000
Ni  0.5000  0.0000  0.0000
Te  0.0000  0.0000  0.0000
Ba  0.5000  0.5000  0.5000


No. 6
Compound: MoPtSe2
Source: the Alexandria database
Functional: GGA-PBE
Structure: optimized geometry

Summary:
Energy above the most stable polymorph in this dataset   499 meV/atom
Formation energy without anion corrections   363 meV/atom
Uncorrected energy   -5.597 eV per atom

Cell: 5.3853 5.3853 5.3853 Å, 138.26 138.26 60.50°
Each line ends with the local moment (μB).
Sites, in units of the cell vectors:
Mo  0.5000  0.5000  0.0000  1.37
Pt  0.7500  0.2500  0.5000  0.00
Se  0.0000  0.0000  0.0000  -0.04
Se  0.2500  0.7500  0.5000  -0.05


No. 7
Compound: Ba2ScAl2
Source: the Alexandria database
Functional: GGA-PBE
Structure: optimized geometry

Summary:
Energy above the most stable polymorph in this dataset   224 meV/atom
Formation energy   0.29 eV per atom
Uncorrected energy   -3.241 eV per atom

Cell: 3.8395 3.8395 12.1383 Å, 80.90 80.90 90.00°
Each line ends with the local moment (μB).
Sites, in units of the cell vectors:
Sc  0.0000  0.0000  0.0000  0.78
Ba  0.3808  0.3808  0.2383  0.12
Ba  0.6192  0.6192  0.7617  0.12
Al  0.7500  0.2500  0.5000  0.00
Al  0.2500  0.7500  0.5000  0.00


No. 8
Compound: AcHf2SbO8
Source: the Alexandria database
Functional: GGA-PBE
Structure: optimized geometry

Summary:
Formation energy without anion corrections   -2800 meV/atom
Uncorrected energy   -8.451 eV per atom

Cell: 4.9806 4.9787 6.8149 Å, 90.00 90.00 88.00°
Sites, in units of the cell vectors:
Ac  0.0000  0.0000  0.5000
Hf  0.5000  0.5000  0.7564
Hf  0.5000  0.5000  0.2436
Sb  0.0000  0.0000  0.0000
O  0.2041  0.7949  0.2065
O  0.7050  0.7059  0.0000
O  0.7959  0.2051  0.2065
O  0.7959  0.2051  0.7935
O  0.2950  0.2941  0.0000
O  0.2041  0.7949  0.7935
O  0.6661  0.6677  0.5000
O  0.3339  0.3323  0.5000


No. 9
Compound: ScTlCu2
Source: the Alexandria database
Functional: GGA-PBE
Structure: optimized geometry

Summary:
Formation energy   -0.01 eV per atom
Uncorrected energy   -4.231 eV per atom

Cell: 4.3495 4.3462 3.7766 Å, 90.00 90.00 90.00°
Sites, in units of the cell vectors:
Cu  0.0000  0.0000  0.0000
Cu  0.5000  0.5000  0.0000
Sc  0.5000  0.0000  0.5000
Tl  0.0000  0.5000  0.5000


No. 10
Compound: Rb2ZrBr4F2
Source: the Alexandria database
Functional: GGA-PBE
Structure: optimized geometry

Summary:
Formation energy without anion corrections   -2183 meV/atom
Uncorrected energy   -4.507 eV per atom

Cell: 6.0926 7.2183 7.2183 Å, 65.71 78.18 78.18°
Sites, in units of the cell vectors:
Rb  0.1701  0.6760  0.6760
Rb  0.8299  0.3240  0.3240
Zr  0.5000  0.0000  0.0000
Br  0.3050  0.6576  0.1495
Br  0.6950  0.8505  0.3424
Br  0.6950  0.3424  0.8505
Br  0.3050  0.1495  0.6576
F  0.2348  0.1367  0.1367
F  0.7652  0.8633  0.8633


No. 11
Compound: BaAlCl2
Source: the Alexandria database
Functional: GGA-PBE
Structure: optimized geometry

Summary:
Energy above the most stable polymorph in this dataset   102 meV/atom
Formation energy without anion corrections   -1119 meV/atom
Uncorrected energy   -3.458 eV per atom

Cell: 5.4443 5.4443 5.4443 Å, 60.00 60.00 60.00°
Each line ends with the local moment (μB).
Sites, in units of the cell vectors:
Al  0.0000  0.0000  0.0000  0.07
Ba  0.5000  0.5000  0.5000  0.09
Cl  0.2500  0.2500  0.2500  0.01
Cl  0.7500  0.7500  0.7500  0.01


No. 12
Compound: Zr2HPdRu
Source: the Alexandria database
Functional: GGA-PBE
Structure: optimized geometry

Summary:
Energy above the most stable polymorph in this dataset   31 meV/atom
Uncorrected energy   -7.431 eV per atom

Cell: 4.5325 4.5325 3.6582 Å, 90.00 90.00 90.00°
Sites, in units of the cell vectors:
Ru  0.5000  0.5000  0.5000
Zr  0.0000  0.5000  0.0000
Zr  0.5000  0.0000  0.0000
Pd  0.0000  0.0000  0.5000
H  0.0000  0.0000  0.0000